The following is a DFT calculation (PBE) of an optimized crystal structure of Ca2LaPtN.

The structure in POSCAR format:
```
Ca2LaPtN
1.0
-3.1898 -3.1058 -1.6152
3.4972 -2.7307 -1.6558
0.1651 -2.4645 4.4129
Ca N Pt La
2 1 1 1
direct
0.0000 0.5000 0.0000
0.5000 0.0000 0.0000
0.0000 0.0000 0.0000
0.5000 0.5000 0.5000
0.0000 0.0000 0.5000
```

## Properties
Symmetry   P4/mmm
Formation energy without anion corrections   -856 meV/atom